(1)
Below is crystalline NbHg3Pt at its relaxed geometry, with properties calculated at the PBE level.

Properties
Polymorph energy (0 for the lowest one): 0.000 eV per atom

Cell and atoms, written as CIF:
```
data_NbHg3Pt
_cell_length_a 5.184
_cell_length_b 5.184
_cell_length_c 5.184
_cell_angle_alpha 90.00
_cell_angle_beta 90.00
_cell_angle_gamma 90.00
_symmetry_space_group_name_H-M 'P m -3 m'
_symmetry_Int_Tables_number 221
_symmetry_space_group_name_Hall '-P 4 2 3'
loop_
_atom_site_label
_atom_site_fract_x
_atom_site_fract_y
_atom_site_fract_z
Nb1 0.000 0.000 0.000
Hg1 0.000 0.500 0.500
Pt1 0.500 0.500 0.500
```

=====

(2)
Below is crystalline LaPm2SmIn4 at its relaxed geometry, with properties calculated at the PBE level.

Properties
DFT total energy: -4.26 eV/atom

Cell and atoms, written as CIF:
```
data_LaPm2SmIn4
_cell_length_a 5.4705
_cell_length_b 5.4705
_cell_length_c 26.8573
_cell_angle_alpha 90.00
_cell_angle_beta 90.00
_cell_angle_gamma 120.00
_symmetry_space_group_name_H-M 'R -3 m'
_symmetry_Int_Tables_number 166
_symmetry_space_group_name_Hall '-R 3 2"'
loop_
_atom_site_label
_atom_site_fract_x
_atom_site_fract_y
_atom_site_fract_z
La1 0.0000 0.0000 0.0000
Pm1 0.0000 0.0000 0.2498
Sm1 0.0000 0.0000 0.5000
In1 0.0000 0.0000 0.1264
In2 0.0000 0.0000 0.3764
```

=====

(3)
Below is crystalline MgTi2PbO6 at its relaxed geometry, with properties calculated at the PBE level.

Properties
Uncorrected formation energy: -2582 meV per atom

Cell and atoms, written as CIF:
```
data_MgTi2PbO6
_cell_length_a 9.337
_cell_length_b 11.223
_cell_length_c 6.407
_cell_angle_alpha 90.00
_cell_angle_beta 114.78
_cell_angle_gamma 90.00
_symmetry_space_group_name_H-M 'C 1 2/c 1'
_symmetry_Int_Tables_number 15
_symmetry_space_group_name_Hall '-C 2yc'
loop_
_atom_site_label
_atom_site_fract_x
_atom_site_fract_y
_atom_site_fract_z
Mg1 0.000 0.200 0.250
Ti1 0.144 0.423 0.671
Pb1 0.000 0.102 0.750
O1 0.097 0.277 0.553
O2 0.117 0.458 0.950
O3 0.137 0.078 0.191
```